No. 1
Density functional theory data (PBE-GGA) for a relaxed AlInP crystal.

Output
**DFT formation energy**: -0.398 eV per formula unit
**Symmetry**: P1, No. 1
**Relative energy among the computed polymorphs**: 0.015 eV per atom

Geometry as POSCAR:
```
AlInP
1.0
3.7686 0.0000 0.0000
1.8837 3.2647 0.0000
0.0013 0.0098 5.2249
Al In P
1 1 1
Cartesian
0.0000 0.0000 0.0000
3.7749 2.1758 2.1727
1.8855 1.0992 4.1905
```

***

No. 2
Density functional theory data (PBE-GGA) for a relaxed ZrCuIrPt crystal.

Output
**DFT formation energy**: -2.213 eV per formula unit
**Symmetry**: F-43m, No. 216
**Relative energy among the computed polymorphs**: 0.127 eV per atom

Geometry as POSCAR:
```
ZrCuIrPt
1.0
0.0000 3.1802 3.1802
3.1802 0.0000 3.1802
3.1802 3.1802 0.0000
Zr Cu Ir Pt
1 1 1 1
Cartesian
0.0000 0.0000 0.0000
3.1802 3.1802 3.1802
4.7703 4.7703 4.7703
1.5901 1.5901 1.5901
```

***

No. 3
Density functional theory data (PBE-GGA) for a relaxed TbNd2TmO6 crystal.

Output
**Symmetry**: R3, No. 146
**Energy relative to the elements, uncorrected**: -3.445 eV per atom

Geometry as POSCAR:
```
TbNd2TmO6
1.0
2.9709 1.7153 5.0837
-2.9709 1.7153 5.0837
0.0000 -3.4306 5.0837
Tb Nd Tm O
1 2 1 6
Cartesian
0.0000 0.0000 0.0000
0.0000 0.0000 4.2306
0.0000 0.0000 11.8712
0.0000 0.0000 7.5946
-1.7016 0.1192 6.0501
-1.2347 -1.5665 8.5720
0.7476 -1.5332 6.0501
-0.7393 1.8526 8.5721
0.9540 1.4140 6.0501
1.9740 -0.2860 8.5721
```

***

No. 4
Density functional theory data (PBE-GGA) for a relaxed CaSm2TlO6 crystal.

Output
**Symmetry**: R3, No. 146
**Energy relative to the elements, uncorrected**: -2.356 eV per atom

Geometry as POSCAR:
```
CaSm2TlO6
1.0
2.9651 1.7119 5.1711
-2.9651 1.7119 5.1711
0.0000 -3.4238 5.1711
Ca Sm Tl O
1 2 1 6
Cartesian
0.0000 0.0000 0.0000
0.0000 0.0000 3.3857
0.0000 0.0000 11.1479
0.0000 0.0000 7.8111
-0.8126 -1.8748 6.8596
-1.7051 0.0103 9.4506
-1.2173 1.6411 6.8596
0.8436 -1.4818 9.4506
2.0299 0.2337 6.8596
0.8614 1.4715 9.4506
```